DFT (PBE) results for LiTeP after structural relaxation.

Output
As for the formation energy from raw total energies: 0.04 eV per atom. As for the space group: I4mm (107). The size of the total moment comes out at 0.0 μB per cell.

a b c (Å): 8.175 8.176 2.925
angles (deg): 79.69 79.70 20.61
Fractional coordinates of all 3 atoms:
Te 0.646 0.646 0.354
P 0.376 0.376 0.624
Li 0.978 0.978 0.022